# meta-GGA SCAN Ag3Au4, single point on PBEsol structure
# Magnetization (μB per cell): 0.00
# Energy relative to the elements (eV per atom): -0.038
# Calculated volume (A^3/atom): 16.888
data_Ag3Au4
_cell_length_a 3.410
_cell_length_b 3.410
_cell_length_c 20.335
_cell_angle_alpha 90.00
_cell_angle_beta 90.00
_cell_angle_gamma 90.00
_space_group_name_H-M_alt 'I 4/m m m'
_space_group_IT_number 139
_space_group_name_Hall '-I 4 2'
loop_
_atom_site_label
_atom_site_fract_x
_atom_site_fract_y
_atom_site_fract_z
Ag1 0.000 0.000 0.000
Ag2 0.000 0.000 0.286
Au1 0.000 0.000 0.143
Au2 0.000 0.000 0.429